1.
Pm3Dy2YSb6 after structural relaxation, computed with PBE-GGA.

Unit cell a=9.9252 b=9.9252 c=8.8771 alpha=102.82 beta=102.82 gamma=25.86
With the nearest neighbours (Å) after each atom.
Element x y z (fractional)
Pm (0.0000, 0.0000, 0.0000)  6 Sb 3.17
Pm (0.3334, 0.3334, 0.6669)  6 Sb 3.17
Pm (0.6666, 0.6666, 0.3331)  6 Sb 3.17
Dy (0.3334, 0.3334, 0.1669)  6 Sb 3.11
Dy (0.6666, 0.6666, 0.8331)  6 Sb 3.11
Y (0.0000, 0.0000, 0.5000)  6 Sb 3.11
Sb (0.1652, 0.1652, 0.5871)  2 Dy 3.11, 1 Y 3.11, 3 Pm 3.17
Sb (0.1683, 0.1683, 0.0792)  3 Dy 3.11, 3 Pm 3.17
Sb (0.4984, 0.4984, 0.2535)  1 Dy 3.11, 2 Y 3.11, 3 Pm 3.17
Sb (0.5016, 0.5016, 0.7465)  1 Dy 3.11, 2 Y 3.11, 3 Pm 3.17
Sb (0.8317, 0.8317, 0.9208)  3 Dy 3.11, 3 Pm 3.17
Sb (0.8348, 0.8348, 0.4129)  2 Dy 3.11, 1 Y 3.11, 3 Pm 3.17

Properties
Energy relative to the elements, uncorrected in meV/atom: -1164
Mass density in g/cm3: 7.06
Space group: C2/m (12)

2.
HgP2Ru after structural relaxation, computed with PBE-GGA.

Unit cell a=2.9424 b=2.9424 c=28.7960 alpha=90.00 beta=90.00 gamma=120.00
With the nearest neighbours (Å) after each atom.
Element x y z (fractional)
Hg (0.0000, 0.0000, 0.0000)  6 Hg 2.94
Hg (0.3333, 0.6667, 0.6667)  6 Hg 2.94
Hg (0.6667, 0.3333, 0.3333)  6 Hg 2.94
P (0.0000, 0.0000, 0.2279)  3 Ru 2.45
P (0.0000, 0.0000, 0.7721)  3 Ru 2.45
P (0.3333, 0.6667, 0.4388)  3 Ru 2.45
P (0.3333, 0.6667, 0.8945)  3 Ru 2.45
P (0.6667, 0.3333, 0.1055)  3 Ru 2.45
P (0.6667, 0.3333, 0.5612)  3 Ru 2.45
Ru (0.0000, 0.0000, 0.5000)  6 P 2.45
Ru (0.3333, 0.6667, 0.1667)  6 P 2.45
Ru (0.6667, 0.3333, 0.8333)  6 P 2.45

Properties
ΔH_f (0 K) in eV per atom: 0.04
Mass density in g/cm3: 8.39
Space group: R-3m (166)

3.
CaMg2In4 after structural relaxation, computed with PBE-GGA.

Unit cell a=7.7887 b=7.7887 c=5.9170 alpha=90.00 beta=90.00 gamma=90.00
With the nearest neighbours (Å) after each atom.
Element x y z (fractional)
Ca (0.0000, 0.0000, 0.0000)  12 In 3.32-3.68
Ca (0.5000, 0.5000, 0.5000)  12 In 3.32-3.68
Mg (0.0000, 0.5000, 0.2500)  2 Mg 2.96, 8 In 3.18
Mg (0.0000, 0.5000, 0.7500)  2 Mg 2.96, 8 In 3.18
Mg (0.5000, 0.0000, 0.2500)  2 Mg 2.96, 8 In 3.18
Mg (0.5000, 0.0000, 0.7500)  2 Mg 2.96, 8 In 3.18
In (0.1985, 0.1985, 0.5000)  4 In 3.09-3.17, 4 Mg 3.18, 1 Ca 3.32
In (0.1985, 0.8015, 0.5000)  4 In 3.09-3.17, 4 Mg 3.18, 1 Ca 3.32
In (0.3015, 0.3015, 0.0000)  4 In 3.09-3.17, 4 Mg 3.18, 1 Ca 3.32
In (0.3015, 0.6985, 0.0000)  4 In 3.09-3.17, 4 Mg 3.18, 1 Ca 3.32
In (0.6985, 0.3015, 0.0000)  4 In 3.09-3.17, 4 Mg 3.18, 1 Ca 3.32
In (0.6985, 0.6985, 0.0000)  4 In 3.09-3.17, 4 Mg 3.18, 1 Ca 3.32
In (0.8015, 0.1985, 0.5000)  4 In 3.09-3.17, 4 Mg 3.18, 1 Ca 3.32
In (0.8015, 0.8015, 0.5000)  4 In 3.09-3.17, 4 Mg 3.18, 1 Ca 3.32

Properties
ΔH_f (0 K) in eV per atom: -0.19
Mass density in g/cm3: 5.07
Space group: I4/mmm (139)

4.
HoErPd after structural relaxation, computed with PBE-GGA.

Unit cell a=3.5228 b=3.5228 c=12.1128 alpha=90.00 beta=90.00 gamma=90.00
With the nearest neighbours (Å) after each atom.
Element x y z (fractional)
Ho (0.0000, 0.0000, 0.0000)  4 Pd 3.01, 1 Er 3.35
Ho (0.5000, 0.5000, 0.5000)  4 Pd 3.01, 1 Er 3.35
Er (0.0000, 0.0000, 0.7235)  4 Pd 2.99
Er (0.5000, 0.5000, 0.2235)  4 Pd 2.99
Pd (0.0000, 0.0000, 0.3599)  4 Er 2.99, 4 Ho 3.01
Pd (0.5000, 0.5000, 0.8599)  4 Er 2.99, 4 Ho 3.01

Properties
ΔH_f (0 K) in eV per atom: -0.57
Mass density in g/cm3: 9.69
Space group: I4mm (107)

Which of these has the lowest mass density? CaMg2In4

Which formula does entry 2 have? HgP2Ru